A plane-wave DFT calculation with GGA-PBE was carried out for a relaxed ScTl2Br crystal.

Lattice parameters (Å, degrees): 6.668 6.668 5.667 64.75 64.75 29.56
Fractional positions:
Sc: 0.772 0.772 0.727
Br: 0.450 0.450 0.551
Tl: 0.035 0.035 0.966
Tl: 0.243 0.243 0.257

Properties
E_tot   -14.37 eV/cell
DOS(E_F)   0.743 states/eV per atom
Excess energy over the best structure of this formula in the dataset   0.151 eV per atom
Energy relative to the elements, uncorrected   -0.41 eV per atom
Density   7944 kg/m³
Symmetry   Cm (8)

***

A plane-wave DFT calculation with GGA-PBE was carried out for a relaxed Tb3Er2Mg crystal.

Lattice parameters (Å, degrees): 6.165 6.902 9.801 110.60 108.33 90.00
Fractional positions:
Tb: 0.142 0.642 0.283
Tb: 0.142 0.142 0.283
Tb: 0.694 0.250 0.000
Tb: 0.306 0.750 0.000
Tb: 0.858 0.858 0.717
Tb: 0.858 0.358 0.717
Er: 0.320 0.564 0.629
Er: 0.309 0.064 0.629
Er: 0.680 0.436 0.371
Er: 0.691 0.936 0.371
Mg: 0.203 0.250 0.000
Mg: 0.797 0.750 0.000

Properties
E_tot   -48.44 eV/cell
DOS(E_F)   1.008 states/eV per atom
Excess energy over the best structure of this formula in the dataset   0.078 eV per atom
Density   7547 kg/m³
ΔE_f   0.065 eV per atom
Symmetry   Imma (74)

***

A plane-wave DFT calculation with GGA-PBE was carried out for a relaxed Pr8Ge3SBr4 crystal.

Lattice parameters (Å, degrees): 8.542 8.901 8.541 118.67 120.00 90.00
Fractional positions:
Pr: 0.738 0.714 0.476
Pr: 0.745 0.708 0.976
Pr: 0.262 0.286 0.524
Pr: 0.232 0.708 0.464
Pr: 0.232 0.708 0.976
Pr: 0.768 0.292 0.024
Pr: 0.768 0.292 0.536
Pr: 0.255 0.292 0.024
Br: 0.000 0.000 0.000
Br: 0.500 0.000 0.500
Br: 0.500 0.000 0.000
Br: 0.000 0.000 0.500
Ge: 0.500 0.500 0.000
Ge: 0.000 0.500 0.500
Ge: 0.500 0.500 0.500
S: 0.000 0.500 0.000

Properties
E_tot   -83.50 eV/cell
DOS(E_F)   0.454 states/eV per atom
Energy relative to the elements, uncorrected   -1.29 eV per atom
Density   6018 kg/m³
Symmetry   R-3m (166)

***

A plane-wave DFT calculation with GGA-PBE was carried out for a relaxed MgTi2InC crystal.

Lattice parameters (Å, degrees): 4.262 4.262 4.381 90.00 90.00 90.00
Fractional positions:
Ti: 0.500 0.000 0.000
Ti: 0.000 0.500 0.000
C: 0.000 0.000 0.000
In: 0.500 0.500 0.500
Mg: 0.000 0.000 0.500

Properties
E_tot   -30.86 eV/cell
DOS(E_F)   0.580 states/eV per atom
Density   5152 kg/m³
ΔE_f   -0.302 eV per atom
Symmetry   P4/mmm (123)

***

A plane-wave DFT calculation with GGA-PBE was carried out for a relaxed BeCSeN2 crystal.

Lattice parameters (Å, degrees): 3.069 3.069 7.769 90.00 90.00 90.00
Fractional positions:
Be: 0.500 0.500 0.500
Se: 0.000 0.000 0.500
N: 0.000 0.500 0.000
N: 0.500 0.000 0.000
C: 0.000 0.000 0.000

Properties
E_tot   -24.55 eV/cell
DOS(E_F)   0.461 states/eV per atom
Excess energy over the best structure of this formula in the dataset   0.000 eV per atom
Energy relative to the elements, uncorrected   1.71 eV per atom
Density   2905 kg/m³
Symmetry   P4/mmm (123)

***

A plane-wave DFT calculation with GGA-PBE was carried out for a relaxed HfZnSb2 crystal.

Lattice parameters (Å, degrees): 6.413 6.413 7.766 65.61 65.61 90.00
Fractional positions:
Hf: 0.000 0.000 0.000
Hf: 0.750 0.250 0.500
Zn: 0.250 0.750 0.500
Zn: 0.500 0.500 0.000
Sb: 0.375 0.389 0.750
Sb: 0.611 0.125 0.250
Sb: 0.139 0.625 0.250
Sb: 0.875 0.861 0.750

Properties
E_tot   -38.39 eV/cell
DOS(E_F)   0.000 states/eV per atom
Energy relative to the elements, uncorrected   0.07 eV per atom
Density   6243 kg/m³
Symmetry   I-42d (122)

***

A plane-wave DFT calculation with GGA-PBE was carried out for a relaxed AgIrAu2 crystal.

Lattice parameters (Å, degrees): 4.907 2.825 4.907 90.00 90.00 90.00
Fractional positions:
Ir: 0.000 0.625 0.380
Au: 0.000 0.125 0.881
Au: 0.500 0.125 0.370
Ag: 0.500 0.625 0.869

Properties
E_tot   -17.31 eV/cell
DOS(E_F)   0.426 states/eV per atom
Excess energy over the best structure of this formula in the dataset   0.016 eV per atom
Density   16939 kg/m³
ΔE_f   0.238 eV per atom
Symmetry   Pmm2 (25)

***

A plane-wave DFT calculation with GGA-PBE was carried out for a relaxed CaCd2Pb crystal.

Lattice parameters (Å, degrees): 4.597 4.597 11.665 78.64 78.64 90.00
Fractional positions:
Ca: 0.250 0.750 0.500
Ca: 0.500 0.500 0.000
Cd: 0.375 0.363 0.750
Cd: 0.113 0.625 0.250
Cd: 0.637 0.125 0.250
Cd: 0.875 0.887 0.750
Pb: 0.000 0.000 0.000
Pb: 0.750 0.250 0.500

Properties
E_tot   -15.82 eV/cell
DOS(E_F)   0.606 states/eV per atom
Density   6623 kg/m³
ΔE_f   -0.093 eV per atom
Symmetry   I-42d (122)